(1)
Here is a relaxed structure of Li3GaPt from Alexandria via LeMat-Bulk. Energies are from PBE.

Cell: 4.4917 7.5989 4.9741 Å, 90.00 90.00 90.00°
Last column: nearest neighbours and their distance in Å.
Fractional positions:
1 Li 0.2500 0.0636 0.1968  1 Pt 2.54, 2 Li 2.69-2.83
2 Li 0.2500 0.2500 0.7378  2 Pt 2.55, 2 Ga 2.61, 2 Li 2.69
3 Li 0.2500 0.4364 0.1968  1 Pt 2.54, 2 Li 2.69-2.83
4 Li 0.7500 0.5636 0.8032  1 Pt 2.54, 2 Li 2.69-2.83
5 Li 0.7500 0.7500 0.2622  2 Pt 2.55, 2 Ga 2.61, 2 Li 2.69
6 Li 0.7500 0.9364 0.8032  1 Pt 2.54, 2 Li 2.69-2.83
7 Ga 0.2500 0.7500 0.5283  2 Pt 2.43-2.54, 2 Li 2.61
8 Ga 0.7500 0.2500 0.4717  2 Pt 2.43-2.54, 2 Li 2.61
9 Pt 0.2500 0.7500 0.0177  2 Ga 2.43-2.54, 4 Li 2.54-2.55
10 Pt 0.7500 0.2500 0.9823  2 Ga 2.43-2.54, 4 Li 2.54-2.55

polymorph energy (0 for the lowest one)	0	meV per atom
symmetry	Pmmn
ΔH_f (0 K)	-424	meV per atom
total magnetic moment	0.00	μB/f.u.

(2)
Here is a relaxed structure of NiWCl from Alexandria via LeMat-Bulk. Energies are from PBE.

Cell: 6.9164 6.9164 6.9164 Å, 156.07 156.07 34.09°
Last column: nearest neighbours and their distance in Å.
Fractional positions:
1 Ni 0.0000 0.0000 0.0000  4 W 2.53
2 W 0.3852 0.3852 0.0000  4 Ni 2.53, 4 Cl 2.65
3 Cl 0.7558 0.7558 0.0000  4 W 2.65, 4 Cl 2.87

polymorph energy (0 for the lowest one)	91	meV per atom
energy relative to the elements, uncorrected	0.379	eV/atom
symmetry	I4mm
total magnetic moment	0.00	μB/f.u.

(3)
Here is a relaxed structure of CsZr2Tc4 from Alexandria via LeMat-Bulk. Energies are from PBE.

Cell: 7.5999 7.5999 7.5999 Å, 142.81 142.81 53.61°
Last column: nearest neighbours and their distance in Å.
Fractional positions:
1 Cs 0.0000 0.0000 0.0000  6 Tc 2.42-2.59
2 Zr 0.3737 0.3737 0.0000  1 Tc 2.48
3 Zr 0.6263 0.6263 0.0000  1 Tc 2.48
4 Tc 0.0000 0.5000 0.5000  2 Cs 2.42
5 Tc 0.1906 0.1906 0.0000  1 Zr 2.48, 1 Cs 2.59
6 Tc 0.5000 0.0000 0.5000  2 Cs 2.42
7 Tc 0.8094 0.8094 0.0000  1 Zr 2.48, 1 Cs 2.59

symmetry	I4/mmm
ΔH_f (0 K)	2158	meV per atom
total magnetic moment	2.49	μB/f.u.

(4)
Here is a relaxed structure of RbSb2Pb from Alexandria via LeMat-Bulk. Energies are from PBE.

Cell: 4.2913 6.3180 6.3180 Å, 67.95 90.00 90.00°
Last column: nearest neighbours and their distance in Å.
Fractional positions:
1 Rb 0.0000 0.0000 0.0000  8 Sb 3.81-3.89, 4 Pb 4.17
2 Sb 0.5000 0.5243 0.9164  1 Sb 2.77
3 Sb 0.5000 0.9164 0.5243  1 Sb 2.77
4 Pb 0.5000 0.4497 0.4497  4 Sb 3.16-3.22

energy relative to the elements, uncorrected	-0.027	eV/atom
symmetry	Amm2
total magnetic moment	0.00	μB/f.u.

(5)
Here is a relaxed structure of Nb2In2Hg from Alexandria via LeMat-Bulk. Energies are from PBE.

Cell: 7.5307 7.5307 3.8743 Å, 90.00 90.00 90.00°
Last column: nearest neighbours and their distance in Å.
Fractional positions:
1 Nb 0.1197 0.3803 0.0000  1 Nb 2.55
2 Nb 0.3803 0.8803 0.0000  1 Nb 2.55
3 Nb 0.6197 0.1197 0.0000  1 Nb 2.55
4 Nb 0.8803 0.6197 0.0000  1 Nb 2.55
5 In 0.1771 0.6771 0.5000  6 Nb 2.90-2.99
6 In 0.3229 0.1771 0.5000  6 Nb 2.90-2.99
7 In 0.6771 0.8229 0.5000  6 Nb 2.90-2.99
8 In 0.8229 0.3229 0.5000  6 Nb 2.90-2.99
9 Hg 0.0000 0.0000 0.0000  4 Nb 3.00
10 Hg 0.5000 0.5000 0.0000  4 Nb 3.00

polymorph energy (0 for the lowest one)	0	meV per atom
symmetry	P4/mbm
ΔH_f (0 K)	216	meV per atom
total magnetic moment	0.00	μB/f.u.

(6)
Here is a relaxed structure of Cs2ZrSnAu from Alexandria via LeMat-Bulk. Energies are from PBE.

Cell: 6.7539 6.7539 5.1583 Å, 90.00 90.00 90.00°
Last column: nearest neighbours and their distance in Å.
Fractional positions:
1 Cs 0.0000 0.5000 0.0000  2 Zr 3.38
2 Cs 0.5000 0.0000 0.0000  2 Zr 3.38
3 Zr 0.0000 0.0000 0.0000  2 Au 2.58
4 Sn 0.5000 0.5000 0.5000  8 Cs 4.25
5 Au 0.0000 0.0000 0.5000  2 Zr 2.58

symmetry	P4/mmm
ΔH_f (0 K)	858	meV per atom
total magnetic moment	1.21	μB/f.u.

> What is the total magnetic moment in the third record?

2.49 μB/f.u.

What did the third record say?
Here is a relaxed structure of CsZr2Tc4 from Alexandria via LeMat-Bulk. Energies are from PBE.

Cell: 7.5999 7.5999 7.5999 Å, 142.81 142.81 53.61°
Last column: nearest neighbours and their distance in Å.
Fractional positions:
1 Cs 0.0000 0.0000 0.0000  6 Tc 2.42-2.59
2 Zr 0.3737 0.3737 0.0000  1 Tc 2.48
3 Zr 0.6263 0.6263 0.0000  1 Tc 2.48
4 Tc 0.0000 0.5000 0.5000  2 Cs 2.42
5 Tc 0.1906 0.1906 0.0000  1 Zr 2.48, 1 Cs 2.59
6 Tc 0.5000 0.0000 0.5000  2 Cs 2.42
7 Tc 0.8094 0.8094 0.0000  1 Zr 2.48, 1 Cs 2.59

symmetry	I4/mmm
ΔH_f (0 K)	2158	meV per atom
total magnetic moment	2.49	μB/f.u.

> What is the total magnetic moment in the third record?

2.49 μB/f.u.